ErTiCoOs | PBE-GGA | relaxed

Lattice parameters (Å, degrees): 4.5198 4.5198 4.5198 60.00 60.00 60.00
With the nearest neighbours (Å) after each atom.
Fractional coordinates of all 4 atoms:
Ti 0.2500 0.2500 0.2500  4 Co 2.77, 4 Os 2.77
Er 0.7500 0.7500 0.7500  4 Co 2.77, 4 Os 2.77
Os 0.5000 0.5000 0.5000  4 Er 2.77, 4 Ti 2.77
Co 0.0000 0.0000 0.0000  4 Er 2.77, 4 Ti 2.77

## Properties
Formation energy = -0.271 eV/atom
Calculated total energy = -7.97 eV/atom

=====

Na2H6PdRh | PBE-GGA | relaxed

Lattice parameters (Å, degrees): 5.0711 5.0711 5.0390 59.81 59.81 90.44
With the nearest neighbours (Å) after each atom.
Fractional coordinates of all 10 atoms:
H 0.7550 0.7550 0.4927  1 Rh 1.74, 1 Pd 1.79
H 0.7575 0.2424 0.0000  1 Rh 1.75, 1 Pd 1.85
H 0.2425 0.2426 0.0029  1 Rh 1.74, 1 Pd 1.83
H 0.2450 0.2450 0.5073  1 Rh 1.74, 1 Pd 1.79
H 0.2425 0.7576 0.0000  1 Rh 1.75, 1 Pd 1.85
H 0.7575 0.7574 0.9971  1 Rh 1.74, 1 Pd 1.83
Rh 0.0000 0.0000 0.0000  6 H 1.74-1.75
Pd 0.5000 0.5000 0.0000  6 H 1.79-1.85
Na 0.7497 0.2504 0.5000  12 H 2.50-2.54
Na 0.2504 0.7496 0.5000  12 H 2.50-2.54

## Properties
Calculated total energy = -3.81 eV/atom

=====

The lowest calculated total energy belongs to which entry?
ErTiCoOs

=====

calculated total energy of number 2 (Na2H6PdRh)?
-3.81 eV/atom

=====

Which value of calculated total energy does entry 1 give?
-7.97 eV/atom

=====

Look up the calculated total energy of the second one.
-3.81 eV/atom